Entry 1:
Density functional theory data (GGA-PBE) for a relaxed La6PmPr2 crystal.

Structure (POSCAR):
```
La6PmPr2
1.0
3.7073 0.0000 0.0000
-1.8537 3.2106 0.0000
0.0000 0.0000 27.8536
La Pm Pr
6 1 2
direct
0.0000 0.0000 0.0615 La
0.0000 0.0000 0.2811 La
0.0000 0.0000 0.7189 La
0.0000 0.0000 0.9385 La
0.3333 0.6667 0.3924 La
0.3333 0.6667 0.6076 La
0.0000 0.0000 0.5000 Pm
0.3333 0.6667 0.1691 Pr
0.3333 0.6667 0.8309 Pr
```

Computed properties:
Size of the total moment, μB per atom: 0.00
Energy relative to the elements, kJ/mol of atoms: 5.4
Fermi-level density of states, states/eV/atom: 1.9526

---

Entry 2:
Density functional theory data (GGA-PBE) for a relaxed Dy2TlOsO8 crystal.

Structure (POSCAR):
```
Dy2TlOsO8
1.0
3.4171 -3.5564 0.0000
3.4171 3.5564 0.0000
0.0000 0.0000 7.0583
Dy Tl Os O
2 1 1 8
direct
0.0000 0.0000 0.2478 Dy
0.0000 0.0000 0.7522 Dy
0.5000 0.5000 0.5000 Tl
0.5000 0.5000 0.0000 Os
0.1956 0.1956 0.5000 O
0.2232 0.2232 0.0000 O
0.3153 0.6847 0.1965 O
0.3153 0.6847 0.8035 O
0.6847 0.3153 0.1965 O
0.6847 0.3153 0.8035 O
0.7768 0.7768 0.0000 O
0.8044 0.8044 0.5000 O
```

Computed properties:
Size of the total moment, μB per atom: 0.08
ΔE_f (raw), eV/atom: -1.96
Fermi-level density of states, states/eV/atom: 0.3285

---

Entry 3:
Density functional theory data (GGA-PBE) for a relaxed RbTl2IrCl6 crystal.

Structure (POSCAR):
```
RbTl2IrCl6
1.0
7.0874 0.0000 0.0000
0.0000 10.7745 0.0000
0.0000 0.0000 8.7575
Rb Tl Ir Cl
2 4 2 12
direct
0.2500 0.2500 0.1738 Rb
0.7500 0.7500 0.8262 Rb
0.2500 0.0518 0.6678 Tl
0.2500 0.4482 0.6678 Tl
0.7500 0.5518 0.3322 Tl
0.7500 0.9482 0.3322 Tl
0.2500 0.7500 0.3142 Ir
0.7500 0.2500 0.6858 Ir
0.0110 0.7500 0.1265 Cl
0.0128 0.7500 0.5059 Cl
0.2500 0.5302 0.3148 Cl
0.2500 0.9698 0.3148 Cl
0.4872 0.7500 0.5059 Cl
0.4890 0.7500 0.1265 Cl
0.5110 0.2500 0.8735 Cl
0.5128 0.2500 0.4941 Cl
0.7500 0.0302 0.6852 Cl
0.7500 0.4698 0.6852 Cl
0.9872 0.2500 0.4941 Cl
0.9890 0.2500 0.8735 Cl
```

Computed properties:
Size of the total moment, μB per atom: 0.00
ΔE_f (raw), eV/atom: -0.99
Fermi-level density of states, states/eV/atom: 0.0000

---

Entry 4:
Density functional theory data (GGA-PBE) for a relaxed FeMo2 crystal.

Structure (POSCAR):
```
FeMo2
1.0
5.2430 0.0000 0.0000
-2.6215 4.5406 0.0000
0.0000 0.0000 8.0922
Fe Mo
4 8
direct
0.3333 0.6667 0.0806 Fe
0.3333 0.6667 0.4194 Fe
0.6667 0.3333 0.5806 Fe
0.6667 0.3333 0.9194 Fe
0.0000 0.0000 0.0000 Mo
0.0000 0.0000 0.5000 Mo
0.1729 0.3458 0.7500 Mo
0.1729 0.8271 0.7500 Mo
0.3458 0.1729 0.2500 Mo
0.6542 0.8271 0.7500 Mo
0.8271 0.1729 0.2500 Mo
0.8271 0.6542 0.2500 Mo
```

Computed properties:
Size of the total moment, μB per atom: 0.85
Energy relative to the elements, kJ/mol of atoms: 58.8
Fermi-level density of states, states/eV/atom: 1.3331

---

Entry 5:
Density functional theory data (GGA-PBE) for a relaxed K4SeBr crystal.

Structure (POSCAR):
```
K4SeBr
1.0
0.0000 4.8227 4.8227
4.8227 0.0000 4.8227
4.8227 4.8227 0.0000
K Se Br
4 1 1
direct
0.1241 0.1241 0.1241 K
0.1241 0.1241 0.6277 K
0.1241 0.6277 0.1241 K
0.6277 0.1241 0.1241 K
0.7500 0.7500 0.7500 Se
0.5000 0.5000 0.5000 Br
```

Computed properties:
Size of the total moment, μB per atom: 0.08
ΔE_f (raw), eV/atom: -0.42
Fermi-level density of states, states/eV/atom: 0.3020

---

Entry 6:
Density functional theory data (GGA-PBE) for a relaxed Si2Pt crystal.

Structure (POSCAR):
```
Si2Pt
1.0
4.2997 0.0000 0.0000
-2.1498 3.7236 0.0000
0.0000 0.0000 2.8264
Si Pt
2 1
direct
0.3333 0.6667 0.0000 Si
0.6667 0.3333 0.0000 Si
0.0000 0.0000 0.5000 Pt
```

Computed properties:
Size of the total moment, μB per atom: 0.00
ΔE_f (raw), eV/atom: 0.26
Fermi-level density of states, states/eV/atom: 0.2588